1.
Compound: CaEr2SnPd4
Source: Alexandria
Functional: PBE
Structure: optimized geometry

Summary:
* energy of formation from the pure elements: -810 meV per atom
* calculated total energy: -5.2974 eV per atom

Cell lengths 4.8441, 4.8441, 23.9842 Å; angles 90.00, 90.00, 120.00 degrees
With the nearest neighbours (Å) after each atom.
Space group R-3m (No. 166, hexagonal axes)
Asymmetric unit:
Ca (0.0000, 0.0000, 0.0000)  8 Pd 3.00-3.05
Er (0.0000, 0.0000, 0.2470)  8 Pd 2.87-3.15
Sn (0.0000, 0.0000, 0.5000)  8 Pd 2.92-2.95
Pd (0.0000, 0.0000, 0.1274)  4 Er 2.87-2.96, 3 Sn 2.95, 1 Ca 3.05
Pd (0.0000, 0.0000, 0.3782)  1 Sn 2.92, 4 Er 2.97-3.15, 3 Ca 3.00

=====

2.
Compound: LiPaInFe
Source: Alexandria
Functional: PBE
Structure: optimized geometry

Summary:
* energy of formation from the pure elements: 30 meV per atom
* calculated total energy: -5.6230 eV per atom

Cell lengths 6.5720, 6.5720, 6.5720 Å; angles 90.00, 90.00, 90.00 degrees
With the nearest neighbours (Å) after each atom.
Space group F-43m (No. 216)
Asymmetric unit:
Li (0.0000, 0.0000, 0.0000)  4 In 2.85, 4 Pa 2.85
Pa (0.2500, 0.2500, 0.2500)  4 Li 2.85, 4 Fe 2.85
In (0.2500, 0.2500, 0.7500)  4 Fe 2.85, 4 Li 2.85
Fe (0.0000, 0.0000, 0.5000)  4 Pa 2.85, 4 In 2.85